# 1
This record from the Alexandria database describes CdAgI4 after structural relaxation. The functional is PBE-GGA.

Output
Energy relative to the elements, uncorrected = -0.26 eV/atom

```
data_CdAgI4
_chemical_formula_sum 'Cd2 Ag2 I8'
_cell_length_a 8.084
_cell_length_b 8.084
_cell_length_c 9.700
_cell_angle_alpha 90.00
_cell_angle_beta 90.00
_cell_angle_gamma 90.00
_space_group_name_H-M_alt 'P 42/m m c'
_space_group_IT_number 131
_space_group_name_Hall '-P 4c 2'
loop_
_atom_site_label
_atom_site_type_symbol
_atom_site_fract_x
_atom_site_fract_y
_atom_site_fract_z
Cd1 Cd 0.000 0.500 0.000
Ag1 Ag 0.000 0.000 0.000
I1 I 0.244 0.246 0.500
```

***

# 2
This record from the Alexandria database describes Dy3GaCu2 after structural relaxation. The functional is PBE-GGA.

Output
Formation energy = -0.36 eV/atom

```
data_Dy3GaCu2
_chemical_formula_sum 'Dy6 Ga2 Cu4'
_cell_length_a 4.9632
_cell_length_b 4.9632
_cell_length_c 12.1750
_cell_angle_alpha 90.00
_cell_angle_beta 90.00
_cell_angle_gamma 120.00
_space_group_name_H-M_alt 'P -3 m 1'
_space_group_IT_number 164
_space_group_name_Hall '-P 3 2"'
loop_
_atom_site_label
_atom_site_type_symbol
_atom_site_fract_x
_atom_site_fract_y
_atom_site_fract_z
Dy1 Dy 0.0000 0.0000 0.2436
Dy2 Dy 0.3333 0.6667 0.4164
Dy3 Dy 0.3333 0.6667 0.9219
Ga1 Ga 0.3333 0.6667 0.6687
Cu1 Cu 0.0000 0.0000 0.0000
Cu2 Cu 0.0000 0.0000 0.5000
Cu3 Cu 0.3333 0.6667 0.1685
```